Entry from Alexandria via LeMat-Bulk: a relaxed structure of Zn2SnGe (GGA-PBE).

extended XYZ file:
```
4
Lattice="4.1184 0.0000 0.0000 0.0000 4.3782 0.0000 0.0000 0.0000 4.3782" Properties=species:S:1:pos:R:3 pbc="T T T"
Zn 0.0000 2.1891 0.0000
Zn 0.0000 0.0000 2.1891
Sn 2.0592 0.0000 0.0000
Ge 2.0592 2.1891 2.1891
```

## Properties
Volume: 79 Å³/cell
Crystal system: tetragonal
Energy above the most stable polymorph in this dataset: 41.9 meV per atom
Formation energy: 0.188 eV per atom

=====

Entry from Alexandria via LeMat-Bulk: a relaxed structure of ZnSn2Ge (GGA-PBE).

extended XYZ file:
```
4
Lattice="0.5126 1.5068 4.7924 -0.5960 4.8706 1.1929 -4.0502 1.4784 2.6289" Properties=species:S:1:pos:R:3 pbc="T T T"
Ge -2.0668 3.9278 4.3071
Sn -3.1002 5.8918 6.4607
Sn -1.0334 1.9639 2.1536
Zn 0.0000 0.0000 0.0000
```

## Properties
Volume: 91 Å³/cell
Crystal system: cubic
Energy above the most stable polymorph in this dataset: 15.1 meV per atom
Formation energy: 0.164 eV per atom

=====

Entry from Alexandria via LeMat-Bulk: a relaxed structure of Zn2SnGe (GGA-PBE).

extended XYZ file:
```
4
Lattice="-1.5955 3.4849 -1.4269 -0.6665 0.4289 -4.0122 -6.0645 -0.9794 -1.0214" Properties=species:S:1:pos:R:3 pbc="T T T"
Zn -4.9610 -0.5144 -1.1745
Zn -1.8548 0.8322 -1.6502
Sn -4.1575 1.4816 -3.2452
Ge -1.5164 2.6023 -3.6209
```

## Properties
Volume: 85 Å³/cell
Crystal system: monoclinic
Energy above the most stable polymorph in this dataset: 0.0 meV per atom
Formation energy: 0.146 eV per atom

=====

Entry from Alexandria via LeMat-Bulk: a relaxed structure of ZnSnGe3 (GGA-PBE).

extended XYZ file:
```
5
Lattice="-2.6969 -0.3058 -4.5754 4.5671 -0.6562 -2.6482 -0.4121 -5.2704 0.5952" Properties=species:S:1:pos:R:3 pbc="T T T"
Sn 0.0000 0.0000 0.0000
Ge -0.2061 -2.6352 0.2976
Ge 2.2835 -0.3281 -1.3241
Ge -1.3485 -0.1529 -2.2877
Zn 0.7290 -3.1162 -3.3142
```

## Properties
Volume: 151 Å³/cell
Crystal system: cubic
Energy above the most stable polymorph in this dataset: 468.2 meV per atom
Formation energy: 0.992 eV per atom

=====

Entry from Alexandria via LeMat-Bulk: a relaxed structure of Zn2SnGe (GGA-PBE).

extended XYZ file:
```
8
Lattice="-5.6411 -1.0733 4.9257 -4.7222 -1.4632 -5.7269 -4.5097 -4.0644 -0.2402" Properties=species:S:1:pos:R:3 pbc="T T T"
Sn 0.0000 0.0000 0.0000
Sn -7.6662 -3.2029 2.1424
Ge -5.1816 -1.2682 -0.4006
Ge -7.2067 -3.3979 -3.1838
Zn -7.4037 -4.0413 -0.6446
Zn -12.3150 -5.2258 -0.7172
Zn -5.0819 -1.8391 2.1616
Zn -4.9454 -2.0955 -2.8826
```

## Properties
Volume: 165 Å³/cell
Crystal system: tetragonal
Energy above the most stable polymorph in this dataset: 58.4 meV per atom
Formation energy: 0.205 eV per atom

=====

Entry from Alexandria via LeMat-Bulk: a relaxed structure of ZrSnGe3 (GGA-PBE).

extended XYZ file:
```
5
Lattice="5.1295 0.0000 0.0000 0.0000 5.1295 0.0000 0.0000 0.0000 5.1295" Properties=species:S:1:pos:R:3 pbc="T T T"
Ge 0.0000 0.0000 2.5647
Ge 2.5647 0.0000 0.0000
Ge 0.0000 2.5647 0.0000
Zr 2.5647 2.5647 2.5647
Sn 0.0000 0.0000 0.0000
```

## Properties
Volume: 135 Å³/cell
Crystal system: cubic
Energy above the most stable polymorph in this dataset: 614.8 meV per atom
Formation energy: 1.033 eV per atom

=====

Entry from Alexandria via LeMat-Bulk: a relaxed structure of Zr3SnGe (GGA-PBE).

extended XYZ file:
```
5
Lattice="-3.1579 -2.9888 -2.4856 3.0357 0.1042 -3.9821 2.4281 -4.0174 1.7459" Properties=species:S:1:pos:R:3 pbc="T T T"
Sn 1.1530 -3.4510 -2.3609
Ge 0.0000 0.0000 0.0000
Zr -1.5789 -1.4944 -1.2428
Zr 1.5178 0.0521 -1.9910
Zr 1.2141 -2.0087 0.8729
```

## Properties
Volume: 126 Å³/cell
Crystal system: cubic
Energy above the most stable polymorph in this dataset: 440.7 meV per atom
Formation energy: 0.025 eV per atom

=====

Entry from Alexandria via LeMat-Bulk: a relaxed structure of Zr3SnGe (GGA-PBE).

extended XYZ file:
```
10
Lattice="3.8760 0.0000 0.0000 0.0000 7.7490 0.4099 0.0000 -1.2658 8.0316" Properties=species:S:1:pos:R:3 pbc="T T T"
Ge 2.9070 0.2885 5.4575
Ge 0.9691 6.1946 2.9841
Zr 2.9070 1.3896 7.9025
Zr 0.9690 5.0935 0.5390
Zr 2.9070 4.3253 3.2923
Zr 2.9070 0.3004 2.7588
Zr 0.9690 2.1579 5.1492
Zr 0.9690 6.1828 5.6828
Sn 0.9690 2.4162 2.0826
Sn 2.9070 4.0669 6.3589
```

## Properties
Volume: 243 Å³/cell
Crystal system: monoclinic
Energy above the most stable polymorph in this dataset: 0.0 meV per atom
Formation energy: -0.416 eV per atom

=====

Entry from Alexandria via LeMat-Bulk: a relaxed structure of Zr4Sn2Ge (GGA-PBE).

extended XYZ file:
```
7
Lattice="4.8468 0.0000 0.0000 0.0000 4.8468 0.0000 2.4234 2.4234 7.6816" Properties=species:S:1:pos:R:3 pbc="T T T"
Zr 0.0000 2.4234 0.0000
Zr 2.4234 0.0000 0.0000
Zr 4.8468 4.8468 2.6036
Zr 2.4234 2.4234 5.0780
Ge 0.0000 0.0000 0.0000
Sn 2.4234 2.4234 2.1240
Sn 4.8468 4.8468 5.5576
```

## Properties
Volume: 180 Å³/cell
Crystal system: tetragonal
Formation energy: -0.056 eV per atom

=====

Entry from Alexandria via LeMat-Bulk: a relaxed structure of ZrSnGe3 (GGA-PBE).

extended XYZ file:
```
5
Lattice="-4.7028 0.9367 -2.0210 -0.0902 -4.7974 -2.0137 -2.2257 -1.7848 4.3519" Properties=species:S:1:pos:R:3 pbc="T T T"
Sn -3.5093 -2.8227 0.1586
Ge -2.3514 0.4684 -1.0105
Ge -1.1128 -0.8924 2.1759
Ge -0.0451 -2.3987 -1.0068
Zr 0.0000 0.0000 0.0000
```

## Properties
Volume: 141 Å³/cell
Crystal system: cubic
Energy above the most stable polymorph in this dataset: 0.0 meV per atom
Formation energy: 0.419 eV per atom

=====

Entry from Alexandria via LeMat-Bulk: a relaxed structure of SrGe (GGA-PBE).

extended XYZ file:
```
4
Lattice="5.5668 0.0000 0.0000 -2.7834 4.8210 0.0000 0.0000 0.0000 6.3736" Properties=species:S:1:pos:R:3 pbc="T T T"
Ge 2.7834 1.6070 4.7802
Ge 0.0000 3.2140 1.5934
Sr 2.7834 1.6070 1.5934
Sr 0.0000 3.2140 4.7802
```

## Properties
Volume: 171 Å³/cell
Crystal system: hexagonal
Formation energy: 0.150 eV per atom

=====

Entry from Alexandria via LeMat-Bulk: a relaxed structure of SrGe (GGA-PBE).

extended XYZ file:
```
12
Lattice="-9.7324 -0.4883 -9.4385 -3.2880 -1.1980 3.4523 -1.2213 6.0749 0.9450" Properties=species:S:1:pos:R:3 pbc="T T T"
Ge -7.6587 4.8702 -2.1044
Ge -8.1454 0.2079 -4.1857
Ge -0.5380 2.6760 0.4163
Ge -9.1588 3.7417 -7.4244
Ge -5.3260 0.3494 -1.4515
Ge -2.2458 4.0885 -0.7201
Sr -5.3765 3.3979 -0.4417
Sr -2.1886 1.0063 -1.7352
Sr -2.6557 4.4334 2.5090
Sr -9.3094 3.2005 -4.2558
Sr -5.2672 1.7508 -4.4089
Sr -7.9880 0.7153 -7.3596
```

## Properties
Volume: 418 Å³/cell
Crystal system: orthorhombic
Formation energy: -0.433 eV per atom

=====

Q: Among the records above, which one has the lowest volume?
A: number 1

=====

Q: Among the records above, which one has the highest volume?
A: number 12

=====

Q: Among the records above, which one has the highest volume?
A: number 12

=====

Q: Look up the volume of the ninth one.
A: 180 Å³/cell